No. 1
VASP calculation (PBE-GGA) on a relaxed structure of CePd4Pb.

The structure in POSCAR format:
```
CePd4Pb
1.0
5.455 0.000 0.000
2.728 4.724 0.000
2.728 1.575 4.454
Pd Ce Pb
4 1 1
direct
0.625 0.125 0.625
0.125 0.625 0.625
0.625 0.625 0.625
0.625 0.625 0.125
0.000 0.000 0.000
0.250 0.250 0.250
```

Computed properties:
Calculated formation energy = -321.6 kJ/mol of formula units

---

No. 2
VASP calculation (PBE-GGA) on a relaxed structure of CePd2Pb.

The structure in POSCAR format:
```
CePd2Pb
1.0
-1.733 3.519 -2.667
-1.936 -4.706 -4.953
-9.277 -1.059 4.632
Pd Ce Pb
8 4 4
direct
0.250 0.764 0.441
0.250 0.456 0.602
0.750 0.044 0.102
0.250 0.956 0.898
0.750 0.736 0.941
0.750 0.544 0.398
0.250 0.264 0.059
0.750 0.236 0.559
0.750 0.717 0.654
0.750 0.217 0.846
0.250 0.283 0.346
0.250 0.783 0.154
0.250 0.053 0.636
0.750 0.447 0.136
0.750 0.947 0.364
0.250 0.553 0.864
```

Computed properties:
Calculated formation energy = -223.5 kJ/mol of formula units

---

No. 3
VASP calculation (PBE-GGA) on a relaxed structure of CePdPb2.

The structure in POSCAR format:
```
CePdPb2
1.0
-0.145 -0.658 -4.829
1.564 -4.582 0.577
-8.794 -0.064 2.735
Pb Pd Ce
4 2 2
direct
0.652 0.652 0.305
0.348 0.348 0.695
0.500 0.000 0.000
0.000 0.500 0.000
0.750 0.250 0.500
0.250 0.750 0.500
0.139 0.139 0.278
0.861 0.861 0.722
```

Computed properties:
Calculated formation energy = -188.4 kJ/mol of formula units

---

No. 4
VASP calculation (PBE-GGA) on a relaxed structure of CePd7Pb2.

The structure in POSCAR format:
```
CePd7Pb2
1.0
4.376 0.000 0.000
0.000 7.945 -0.485
0.000 -4.018 6.872
Pb Pd Ce
2 7 1
direct
0.500 0.305 0.695
0.500 0.695 0.305
0.000 0.809 0.191
0.500 0.500 0.500
0.500 0.718 0.921
0.500 0.282 0.079
0.000 0.191 0.809
0.500 0.921 0.718
0.500 0.079 0.282
0.000 0.000 0.000
```

Computed properties:
Calculated formation energy = -132.3 kJ/mol of formula units

---

No. 5
VASP calculation (PBE-GGA) on a relaxed structure of CePd3Pb3.

The structure in POSCAR format:
```
CePd3Pb3
1.0
-3.916 5.171 -3.724
-6.335 -2.689 2.929
0.686 4.687 5.788
Pb Pd Ce
6 6 2
direct
0.250 0.500 0.000
0.500 0.000 0.750
0.750 0.500 0.000
0.000 0.250 0.500
0.000 0.750 0.500
0.500 0.000 0.250
0.500 0.250 0.000
0.000 0.500 0.750
0.750 0.000 0.500
0.500 0.750 0.000
0.000 0.500 0.250
0.250 0.000 0.500
0.500 0.500 0.500
0.000 0.000 0.000
```

Computed properties:
Calculated formation energy = 63.3 kJ/mol of formula units

---

No. 6
VASP calculation (PBE-GGA) on a relaxed structure of CePdPb2.

The structure in POSCAR format:
```
CePdPb2
1.0
-3.397 0.082 -0.221
-1.543 -0.982 -2.872
-2.132 -10.409 2.688
Pb Ce Pd
2 1 1
direct
0.899 0.899 0.304
0.101 0.101 0.696
0.000 0.000 0.000
0.500 0.500 0.500
```

Computed properties:
Calculated formation energy = 9.7 kJ/mol of formula units

---

No. 7
VASP calculation (PBE-GGA) on a relaxed structure of CePd2Pb.

The structure in POSCAR format:
```
CePd2Pb
1.0
-1.622 -2.446 2.304
3.430 -3.248 -1.033
2.683 1.669 3.660
Pd Ce Pb
2 1 1
direct
0.000 0.500 0.000
0.000 0.000 0.500
0.500 0.500 0.500
0.500 0.000 0.000
```

Computed properties:
Calculated formation energy = -183.5 kJ/mol of formula units

---

No. 8
VASP calculation (PBE-GGA) on a relaxed structure of Ce8Pd24Pb.

The structure in POSCAR format:
```
Ce8Pd24Pb
1.0
8.508 0.000 0.000
0.000 8.508 0.000
0.000 0.000 8.508
Ce Pd Pb
8 24 1
direct
0.753 0.753 0.247
0.247 0.753 0.753
0.753 0.247 0.247
0.247 0.753 0.247
0.753 0.753 0.753
0.247 0.247 0.753
0.247 0.247 0.247
0.753 0.247 0.753
0.000 0.000 0.324
0.324 0.000 0.000
0.500 0.730 0.000
0.500 0.000 0.270
0.000 0.324 0.000
0.744 0.500 0.500
0.730 0.000 0.500
0.500 0.000 0.730
0.000 0.676 0.000
0.000 0.730 0.500
0.730 0.500 0.000
0.270 0.000 0.500
0.500 0.270 0.000
0.000 0.270 0.500
0.256 0.500 0.500
0.000 0.500 0.270
0.500 0.744 0.500
0.500 0.500 0.744
0.000 0.000 0.676
0.270 0.500 0.000
0.500 0.256 0.500
0.676 0.000 0.000
0.500 0.500 0.256
0.000 0.500 0.730
0.000 0.000 0.000
```

Computed properties:
Calculated formation energy = -2408.6 kJ/mol of formula units

---

Question: Among the records above, which one has the highest calculated formation energy?
Answer: CePd3Pb3

---

Repeat the third record exactly.
VASP calculation (PBE-GGA) on a relaxed structure of CePdPb2.

The structure in POSCAR format:
```
CePdPb2
1.0
-0.145 -0.658 -4.829
1.564 -4.582 0.577
-8.794 -0.064 2.735
Pb Pd Ce
4 2 2
direct
0.652 0.652 0.305
0.348 0.348 0.695
0.500 0.000 0.000
0.000 0.500 0.000
0.750 0.250 0.500
0.250 0.750 0.500
0.139 0.139 0.278
0.861 0.861 0.722
```

Computed properties:
Calculated formation energy = -188.4 kJ/mol of formula units